(1)
DFT (SCAN) results for FeTe3Pd at its PBEsol-relaxed geometry.

Structure (POSCAR):
```
FeTe3Pd
1.0
4.907 0.000 0.000
0.000 4.907 0.000
0.000 0.000 4.907
Fe Te Pd
1 3 1
Direct
0.000 0.000 0.000
0.000 0.000 0.500
0.000 0.500 0.000
0.500 0.000 0.000
0.500 0.500 0.500
```

## Properties
**Formation energy without anion corrections**: 663 meV per atom
**Magnetization**: 2.97 μB per cell
**SG**: Pm-3m, No. 221
**E_tot**: -31.87 eV per atom

(2)
DFT (SCAN) results for Ti3FePd at its PBEsol-relaxed geometry.

Structure (POSCAR):
```
Ti3FePd
1.0
4.663 0.000 0.000
0.000 4.663 0.000
0.000 0.000 4.663
Ti Fe Pd
3 1 1
Direct
0.000 0.000 0.500
0.000 0.500 0.000
0.500 0.000 0.000
0.500 0.500 0.500
0.000 0.000 0.000
```

## Properties
**Magnetization**: 0.71 μB per cell
**SG**: Pm-3m, No. 221
**E_tot**: -18.99 eV per atom
**Energy relative to the elements**: 0.81 eV per atom

(3)
DFT (SCAN) results for Y2TiFePd at its PBEsol-relaxed geometry.

Structure (POSCAR):
```
Y2TiFePd
1.0
5.114 0.000 0.000
0.000 5.114 0.000
0.000 0.000 4.214
Y Ti Fe Pd
2 1 1 1
Direct
0.000 0.500 0.000
0.500 0.000 0.000
0.000 0.000 0.500
0.000 0.000 0.000
0.500 0.500 0.500
```

## Properties
**Magnetization**: 0.00 μB per cell
**SG**: P4/mmm, No. 123
**E_tot**: -24.43 eV per atom
**Energy relative to the elements**: 0.09 eV per atom

(4)
DFT (SCAN) results for TlFe3Pd at its PBEsol-relaxed geometry.

Structure (POSCAR):
```
TlFe3Pd
1.0
4.712 0.000 0.000
0.000 4.712 0.000
0.000 0.000 4.712
Tl Fe Pd
1 3 1
Direct
0.000 0.000 0.000
0.000 0.000 0.500
0.000 0.500 0.000
0.500 0.000 0.000
0.500 0.500 0.500
```

## Properties
**Magnetization**: 10.12 μB per cell
**SG**: Pm-3m, No. 221
**E_tot**: -30.27 eV per atom
**Energy relative to the elements**: 1.64 eV per atom

(5)
DFT (SCAN) results for YFePd2 at its PBEsol-relaxed geometry.

Structure (POSCAR):
```
YFePd2
1.0
0.000 3.234 3.234
3.234 0.000 3.234
3.234 3.234 0.000
Y Fe Pd
1 1 2
Direct
0.000 0.000 0.000
0.500 0.500 0.500
0.250 0.250 0.250
0.750 0.750 0.750
```

## Properties
**Magnetization**: 3.33 μB per cell
**SG**: Fm-3m, No. 225
**E_tot**: -28.31 eV per atom
**Energy relative to the elements**: -0.43 eV per atom

(6)
DFT (SCAN) results for Pr2FeSi2Ru at its PBEsol-relaxed geometry.

Structure (POSCAR):
```
Pr2FeSi2Ru
1.0
4.101 0.000 0.000
0.000 4.101 0.000
0.000 0.000 6.934
Pr Fe Si Ru
2 1 2 1
Direct
0.000 0.500 0.179
0.500 0.000 0.821
0.000 0.000 0.500
0.000 0.500 0.669
0.500 0.000 0.331
0.500 0.500 0.500
```

## Properties
**Formation energy without anion corrections**: -642 meV per atom
**Magnetization**: 0.01 μB per cell
**SG**: P-4m2, No. 115
**E_tot**: -27.25 eV per atom

(7)
DFT (SCAN) results for PrFe4Sb12 at its PBEsol-relaxed geometry.

Structure (POSCAR):
```
PrFe4Sb12
1.0
-4.525 4.525 4.525
4.525 -4.525 4.525
4.525 4.525 -4.525
Pr Fe Sb
1 4 12
Direct
0.000 0.000 0.000
0.000 0.000 0.500
0.000 0.500 0.000
0.500 0.000 0.000
0.500 0.500 0.500
0.163 0.498 0.335
0.163 0.829 0.665
0.171 0.335 0.837
0.335 0.163 0.498
0.335 0.837 0.171
0.498 0.335 0.163
0.502 0.665 0.837
0.665 0.163 0.829
0.665 0.837 0.502
0.829 0.665 0.163
0.837 0.171 0.335
0.837 0.502 0.665
```

## Properties
**Formation energy without anion corrections**: -180 meV per atom
**Magnetization**: 1.01 μB per cell
**SG**: Im-3, No. 204
**E_tot**: -33.30 eV per atom

(8)
DFT (SCAN) results for PrFeSi at its PBEsol-relaxed geometry.

Structure (POSCAR):
```
PrFeSi
1.0
4.019 0.000 0.000
0.000 4.019 0.000
0.000 0.000 6.918
Pr Fe Si
2 2 2
Direct
0.250 0.250 0.183
0.750 0.750 0.817
0.250 0.750 0.500
0.750 0.250 0.500
0.250 0.250 0.661
0.750 0.750 0.339
```

## Properties
**Formation energy without anion corrections**: -474 meV per atom
**Magnetization**: 0.00 μB per cell
**SG**: P4/nmm, No. 129
**E_tot**: -24.30 eV per atom

(9)
DFT (SCAN) results for TbPrFe4 at its PBEsol-relaxed geometry.

Structure (POSCAR):
```
TbPrFe4
1.0
0.000 3.605 3.605
3.605 0.000 3.605
3.605 3.605 0.000
Tb Pr Fe
1 1 4
Direct
0.000 0.000 0.000
0.750 0.750 0.750
0.375 0.375 0.375
0.375 0.375 0.876
0.375 0.876 0.375
0.876 0.375 0.375
```

## Properties
**Magnetization**: 8.03 μB per cell
**SG**: F-43m, No. 216
**E_tot**: -27.03 eV per atom
**Energy relative to the elements**: 0.07 eV per atom

(10)
DFT (SCAN) results for PrYFe4 at its PBEsol-relaxed geometry.

Structure (POSCAR):
```
PrYFe4
1.0
0.000 3.606 3.606
3.606 0.000 3.606
3.606 3.606 0.000
Pr Y Fe
1 1 4
Direct
0.000 0.000 0.000
0.250 0.250 0.250
0.126 0.625 0.625
0.625 0.126 0.625
0.625 0.625 0.126
0.625 0.625 0.625
```

## Properties
**Magnetization**: 7.99 μB per cell
**SG**: F-43m, No. 216
**E_tot**: -23.86 eV per atom
**Energy relative to the elements**: 0.08 eV per atom

(11)
DFT (SCAN) results for Fe5Pt at its PBEsol-relaxed geometry.

Structure (POSCAR):
```
Fe5Pt
1.0
2.836 0.000 0.000
0.000 2.836 0.000
0.000 0.000 8.825
Fe Pt
5 1
Direct
0.000 0.000 0.000
0.000 0.000 0.311
0.000 0.000 0.689
0.500 0.500 0.157
0.500 0.500 0.843
0.500 0.500 0.500
```

## Properties
**Magnetization**: 14.20 μB per cell
**SG**: P4/mmm, No. 123
**E_tot**: -26.98 eV per atom
**Energy relative to the elements**: -0.17 eV per atom

(12)
DFT (SCAN) results for Fe2Pt at its PBEsol-relaxed geometry.

Structure (POSCAR):
```
Fe2Pt
1.0
4.115 0.000 0.000
-2.057 3.564 0.000
0.000 0.000 2.602
Fe Pt
2 1
Direct
0.333 0.667 0.393
0.667 0.333 0.607
0.000 0.000 0.000
```

## Properties
**Magnetization**: 6.19 μB per cell
**SG**: P-3m1, No. 164
**E_tot**: -35.75 eV per atom
**Energy relative to the elements**: -0.27 eV per atom

(13)
DFT (SCAN) results for FePt4 at its PBEsol-relaxed geometry.

Structure (POSCAR):
```
FePt4
1.0
-3.054 3.054 1.932
3.054 -3.054 1.932
3.054 3.054 -1.932
Fe Pt
1 4
Direct
0.000 0.000 0.000
0.203 0.396 0.599
0.396 0.797 0.193
0.604 0.203 0.807
0.797 0.604 0.401
```

## Properties
**Magnetization**: 4.81 μB per cell
**SG**: I4/m, No. 87
**E_tot**: -59.99 eV per atom
**Energy relative to the elements**: -0.21 eV per atom

(14)
DFT (SCAN) results for FePt3 at its PBEsol-relaxed geometry.

Structure (POSCAR):
```
FePt3
1.0
3.853 0.000 0.000
0.000 3.853 0.000
0.000 0.000 3.853
Fe Pt
1 3
Direct
0.000 0.000 0.000
0.000 0.500 0.500
0.500 0.000 0.500
0.500 0.500 0.000
```

## Properties
**Magnetization**: 4.78 μB per cell
**SG**: Pm-3m, No. 221
**E_tot**: -57.52 eV per atom
**Energy relative to the elements**: -0.34 eV per atom

(15)
DFT (SCAN) results for Fe8Pt at its PBEsol-relaxed geometry.

Structure (POSCAR):
```
Fe8Pt
1.0
-4.291 4.291 1.418
4.291 -4.291 1.418
4.291 4.291 -1.418
Fe Pt
8 1
Direct
0.000 0.336 0.336
0.000 0.664 0.664
0.327 0.327 0.654
0.327 0.673 0.000
0.336 0.000 0.336
0.664 0.000 0.664
0.673 0.327 0.000
0.673 0.673 0.346
0.000 0.000 0.000
```

## Properties
**Magnetization**: 21.90 μB per cell
**SG**: I4/mmm, No. 139
**E_tot**: -24.07 eV per atom
**Energy relative to the elements**: -0.15 eV per atom

(16)
DFT (SCAN) results for FePt at its PBEsol-relaxed geometry.

Structure (POSCAR):
```
FePt
1.0
2.679 0.000 0.000
0.000 2.679 0.000
0.000 0.000 3.721
Fe Pt
1 1
Direct
0.000 0.000 0.000
0.500 0.500 0.500
```

## Properties
**Magnetization**: 3.49 μB per cell
**SG**: P4/mmm, No. 123
**E_tot**: -44.61 eV per atom
**Energy relative to the elements**: -0.45 eV per atom

(17)
DFT (SCAN) results for Fe2Pt at its PBEsol-relaxed geometry.

Structure (POSCAR):
```
Fe2Pt
1.0
4.703 0.000 0.000
-2.351 4.073 0.000
0.000 0.000 15.363
Fe Pt
16 8
Direct
0.000 0.500 0.000
0.000 0.500 0.500
0.164 0.328 0.250
0.164 0.836 0.250
0.328 0.164 0.750
0.333 0.667 0.125
0.333 0.667 0.375
0.500 0.000 0.000
0.500 0.000 0.500
0.500 0.500 0.000
0.500 0.500 0.500
0.667 0.333 0.625
0.667 0.333 0.875
0.672 0.836 0.250
0.836 0.164 0.750
0.836 0.672 0.750
0.000 0.000 0.094
0.000 0.000 0.406
0.000 0.000 0.594
0.000 0.000 0.906
0.333 0.667 0.656
0.333 0.667 0.844
0.667 0.333 0.156
0.667 0.333 0.344
```

## Properties
**Magnetization**: 47.17 μB per cell
**SG**: P6_3/mmc, No. 194
**E_tot**: -35.70 eV per atom
**Energy relative to the elements**: -0.21 eV per atom

(18)
DFT (SCAN) results for Fe5Pt3 at its PBEsol-relaxed geometry.

Structure (POSCAR):
```
Fe5Pt3
1.0
3.714 -3.721 0.000
3.714 3.721 0.000
0.000 0.000 3.730
Fe Pt
5 3
Direct
0.000 0.000 0.000
0.000 0.500 0.000
0.252 0.748 0.500
0.500 0.000 0.000
0.748 0.252 0.500
0.240 0.240 0.500
0.500 0.500 0.000
0.760 0.760 0.500
```

## Properties
**Magnetization**: 16.04 μB per cell
**SG**: Cmmm, No. 65
**E_tot**: -37.99 eV per atom
**Energy relative to the elements**: -0.34 eV per atom

(19)
DFT (SCAN) results for Fe5Pt at its PBEsol-relaxed geometry.

Structure (POSCAR):
```
Fe5Pt
1.0
2.028 -4.377 0.000
2.028 4.377 0.000
0.000 0.000 4.057
Fe Pt
5 1
Direct
0.000 0.000 0.000
0.172 0.828 0.500
0.327 0.673 0.000
0.673 0.327 0.000
0.828 0.172 0.500
0.500 0.500 0.500
```

## Properties
**Magnetization**: 14.40 μB per cell
**SG**: Cmmm, No. 65
**E_tot**: -27.04 eV per atom
**Energy relative to the elements**: -0.23 eV per atom

(20)
DFT (SCAN) results for FePt3 at its PBEsol-relaxed geometry.

Structure (POSCAR):
```
FePt3
1.0
2.707 0.000 0.000
-1.354 2.344 0.000
0.000 0.000 9.007
Fe Pt
1 3
Direct
0.000 0.000 0.000
0.000 0.000 0.500
0.667 0.333 0.232
0.667 0.333 0.768
```

## Properties
**Magnetization**: 3.76 μB per cell
**SG**: P-6m2, No. 187
**E_tot**: -57.37 eV per atom
**Energy relative to the elements**: -0.19 eV per atom